VASP calculation (SCAN) on a crystal of FeHgBr relaxed with PBEsol.

## Properties
Its formation energy without anion corrections is 325 meV per atom. For the volume, the calculation gives 21.6 A^3/atom.

abc: 6.3805 6.3805 6.3805
angles: 90.00 90.00 90.00
Space group F-43m (No. 216)
One atom of each set of equivalent atoms:
Fe 0.0000 0.0000 0.0000
Hg 0.2500 0.2500 0.7500
Br 0.2500 0.2500 0.2500